{
  "formula": "SmTiCdIn",
  "functional": "PBE-GGA",
  "state": "optimized geometry",
  "space_group": "F-43m (216)",
  "formation_enthalpy_0k_ev_per_atom": -0.1242,
  "lattice_angstrom": [[7.200, 0.000, 0.000], [0.000, 7.200, 0.000], [0.000, 0.000, 7.200]],
  "species": ["Sm", "Sm", "Sm", "Sm", "Ti", "Ti", "Ti", "Ti", "Cd", "Cd", "Cd", "Cd", "In", "In", "In", "In"],
  "frac_coords": [[0.000, 0.000, 0.000], [0.000, 0.500, 0.500], [0.500, 0.000, 0.500], [0.500, 0.500, 0.000], [0.000, 0.000, 0.500], [0.000, 0.500, 0.000], [0.500, 0.000, 0.000], [0.500, 0.500, 0.500], [0.250, 0.250, 0.750], [0.250, 0.750, 0.250], [0.750, 0.250, 0.250], [0.750, 0.750, 0.750], [0.250, 0.250, 0.250], [0.250, 0.750, 0.750], [0.750, 0.250, 0.750], [0.750, 0.750, 0.250]]
}